Record 1
16
Lattice="4.2346 0.0000 0.0000 0.0000 4.2346 0.0000 0.0000 0.0000 9.7386" Properties=species:S:1:pos:R:3 comment="Li2TmVO4 | the Alexandria database | PBE with a Hubbard U | relaxed" magmom_total_mub_per_fu=2.000 space_group="I-4m2, No. 119" final_energy_ev_per_fu=-55.58 pbc="T T T"
Li 0.0000 0.0000 0.0000
Li 0.0000 2.1173 2.4346
Li 2.1173 0.0000 7.3039
Li 2.1173 2.1173 4.8693
Tm 0.0000 2.1173 7.3039
Tm 2.1173 0.0000 2.4346
V 0.0000 0.0000 4.8693
V 2.1173 2.1173 0.0000
O 0.0000 0.0000 2.7780
O 0.0000 0.0000 6.9606
O 0.0000 2.1173 4.9910
O 0.0000 2.1173 9.6169
O 2.1173 0.0000 0.1217
O 2.1173 0.0000 4.7476
O 2.1173 2.1173 2.0913
O 2.1173 2.1173 7.6473

Record 2
20
Lattice="5.4002 0.0000 0.0000 0.0000 5.4500 0.0000 -5.3909 0.0000 7.8486" Properties=species:S:1:pos:R:3 comment="Li2TmWO6 | the Alexandria database | PBE with a Hubbard U | relaxed" magmom_total_mub_per_fu=1.043 space_group="P2_1/c, No. 14" final_energy_ev_per_fu=-68.07 pbc="T T T"
Li -0.1406 0.1096 1.8900
Li -2.8360 2.6154 5.8143
Li 2.8453 2.8346 2.0343
Li 0.1498 5.3405 5.9586
Tm -2.6955 0.0000 3.9243
Tm 0.0000 2.7250 0.0000
W 2.7001 0.0000 0.0000
W 0.0046 2.7250 3.9243
O -3.2842 0.3688 6.0281
O -0.5887 2.3562 2.1038
O -1.7095 3.5198 4.3481
O 0.9860 4.6553 0.4238
O -0.7208 0.9744 4.4620
O 1.9747 1.7506 0.5377
O -1.9654 3.6994 7.3109
O 0.7300 4.4756 3.3866
O -0.9768 0.7947 7.4248
O 1.7187 1.9303 3.5005
O 0.5980 3.0938 5.7448
O 3.2934 5.0812 1.8205

Record 3
24
Lattice="5.0856 0.0000 0.0000 0.0000 5.9340 0.0000 -4.7160 0.0000 9.9317" Properties=species:S:1:pos:R:3 comment="LiTmW2O8 | the Alexandria database | PBE with a Hubbard U | relaxed" magmom_total_mub_per_fu=0.000 space_group="P2/c, No. 13" final_energy_ev_per_fu=-89.66 pbc="T T T"
Li -1.1790 1.3166 2.4829
Li -3.5370 4.6174 7.4488
Tm -0.9942 0.9897 7.4488
Tm 1.3638 4.9444 2.4829
W 1.2909 1.9508 0.0914
W -1.0671 3.9832 5.0573
W 1.4367 1.9508 4.8744
W -0.9213 3.9832 9.8403
O -2.0014 2.3171 5.9580
O 0.3566 3.6169 0.9922
O 0.5728 0.7876 1.3086
O -1.7852 5.1464 6.2745
O -2.7601 0.7986 8.7653
O -0.4021 5.1355 3.7994
O -0.1336 2.3985 3.8892
O -2.4916 3.5356 8.8551
O 2.8613 2.3985 1.0766
O 0.5033 3.5356 6.0425
O 0.7718 0.7986 6.1323
O 3.1298 5.1355 1.1665
O 2.1548 0.7876 3.6573
O -0.2032 5.1464 8.6231
O 0.0131 2.3171 8.9396
O 2.3711 3.6169 3.9737